1.
! PBE FeTc2Br, relaxed; values from VASP
! formation energy without anion corrections	418.4	kJ/mol of formula units
! symmetry	No. 122
&SYSTEM
  ibrav = 0, nat = 8, ntyp = 3
/
ATOMIC_SPECIES
Tc 98.00 Tc.upf
Br 79.90 Br.upf
Fe 55.84 Fe.upf
ATOMIC_POSITIONS crystal
Tc 0.5804 0.1250 0.2500
Tc 0.1696 0.6250 0.2500
Tc 0.3750 0.4196 0.7500
Tc 0.8750 0.8304 0.7500
Br 0.0000 0.0000 0.0000
Br 0.7500 0.2500 0.5000
Fe 0.5000 0.5000 0.0000
Fe 0.2500 0.7500 0.5000
CELL_PARAMETERS angstrom
5.4242 0.0000 0.0000
0.0000 5.4242 0.0000
2.7121 2.7121 5.4126

***

2.
! PBE CsTl8Cd2, relaxed; values from VASP
! symmetry	No. 123
&SYSTEM
  ibrav = 0, nat = 11, ntyp = 3
/
ATOMIC_SPECIES
Cs 132.91 Cs.upf
Tl 204.38 Tl.upf
Cd 112.41 Cd.upf
ATOMIC_POSITIONS crystal
Cs 0.5000 0.5000 0.5000
Tl 0.7513 0.7513 0.1992
Tl 0.7513 0.2487 0.8008
Tl 0.7513 0.7513 0.8008
Tl 0.7513 0.2487 0.1992
Tl 0.2487 0.7513 0.1992
Tl 0.2487 0.7513 0.8008
Tl 0.2487 0.2487 0.1992
Tl 0.2487 0.2487 0.8008
Cd 0.5000 0.0000 0.0000
Cd 0.0000 0.5000 0.0000
CELL_PARAMETERS angstrom
6.4438 0.0000 0.0000
0.0000 6.4438 0.0000
0.0000 0.0000 11.2927

***

3.
! PBE Dy2TcGe4, relaxed; values from VASP
! symmetry	No. 139
&SYSTEM
  ibrav = 0, nat = 7, ntyp = 3
/
ATOMIC_SPECIES
Dy 162.50 Dy.upf
Tc 98.00 Tc.upf
Ge 72.64 Ge.upf
ATOMIC_POSITIONS crystal
Dy 0.2500 0.7500 0.5000
Dy 0.7500 0.2500 0.5000
Tc 0.9998 0.0002 0.0000
Ge 0.7111 0.7110 0.0000
Ge 0.2890 0.2889 0.0000
Ge 0.2892 0.2893 0.5784
Ge 0.7107 0.7108 0.4216
CELL_PARAMETERS angstrom
6.0124 0.0044 0.0000
-0.0892 6.0117 0.0000
-2.9616 -3.0081 4.2185

***

4.
! PBE Pu2CdPd, relaxed; values from VASP
! symmetry	No. 166
&SYSTEM
  ibrav = 0, nat = 4, ntyp = 3
/
ATOMIC_SPECIES
Cd 112.41 Cd.upf
Pd 106.42 Pd.upf
Pu 244.00 Pu.upf
ATOMIC_POSITIONS crystal
Cd 0.0000 0.0000 0.0000
Pd 0.5000 0.5000 0.5000
Pu 0.0957 0.0957 0.7130
Pu 0.9043 0.9043 0.2870
CELL_PARAMETERS angstrom
3.1603 0.0000 0.0000
1.5802 2.7369 0.0000
1.5802 0.9123 11.2879

***

5.
! PBE CrSbSe4, relaxed; values from VASP
! formation energy without anion corrections	406.4	kJ/mol of formula units
! symmetry	No. 216
&SYSTEM
  ibrav = 0, nat = 6, ntyp = 3
/
ATOMIC_SPECIES
Cr 52.00 Cr.upf
Sb 121.76 Sb.upf
Se 78.96 Se.upf
ATOMIC_POSITIONS crystal
Cr 0.7500 0.7500 0.7500
Sb 0.0000 0.0000 0.0000
Se 0.8731 0.3756 0.3756
Se 0.3756 0.3756 0.8731
Se 0.3756 0.8731 0.3756
Se 0.3756 0.3756 0.3756
CELL_PARAMETERS angstrom
0.0000 4.0677 4.0677
4.0677 0.0000 4.0677
4.0677 4.0677 0.0000

***

6.
! PBE LiLaTl3, relaxed; values from VASP
! symmetry	No. 12
&SYSTEM
  ibrav = 0, nat = 10, ntyp = 3
/
ATOMIC_SPECIES
Li 6.94 Li.upf
La 138.91 La.upf
Tl 204.38 Tl.upf
ATOMIC_POSITIONS crystal
Li 0.3974 0.1474 0.2947
Li 0.6026 0.8526 0.7053
La 0.1720 0.4215 0.8429
La 0.8280 0.5785 0.1571
Tl 0.7139 0.9633 0.9266
Tl 0.2861 0.0367 0.0734
Tl 0.4508 0.7009 0.4018
Tl 0.5492 0.2991 0.5982
Tl 0.0504 0.7999 0.5999
Tl 0.9496 0.2001 0.4001
CELL_PARAMETERS angstrom
-1.3965 3.1860 -3.3746
-4.5858 -0.6715 1.2637
3.8647 7.3994 8.8250

***

7.
! PBE ZrZn5, relaxed; values from VASP
! symmetry	No. 65
&SYSTEM
  ibrav = 0, nat = 6, ntyp = 2
/
ATOMIC_SPECIES
Zn 65.41 Zn.upf
Zr 91.22 Zr.upf
ATOMIC_POSITIONS crystal
Zn 0.0000 0.6800 0.3599
Zn 0.0000 0.3200 0.6401
Zn 0.5000 0.5000 0.0000
Zn 0.5000 0.1665 0.3330
Zn 0.5000 0.8335 0.6670
Zr 0.0000 0.0000 0.0000
CELL_PARAMETERS angstrom
-1.5936 3.8167 0.4085
-0.6190 0.1727 -4.0288
-4.9162 -2.3438 2.7204

***

8.
! PBE ReNiW2, relaxed; values from VASP
! symmetry	No. 44
&SYSTEM
  ibrav = 0, nat = 4, ntyp = 3
/
ATOMIC_SPECIES
Ni 58.69 Ni.upf
Re 186.21 Re.upf
W 183.84 W.upf
ATOMIC_POSITIONS crystal
Ni 0.5022 0.5022 0.0000
Re 0.2447 0.7447 0.5000
W 0.0000 0.0000 0.0000
W 0.7531 0.2531 0.5000
CELL_PARAMETERS angstrom
4.9962 0.0003 0.0152
2.0737 4.5456 -0.0152
-3.1622 -2.8527 2.6125

***

Number 1: calculated total energy -0.4875 Ry per atom, calculated volume 159.3 Å³ per cell, total magnetic moment 0.00 Bohr magnetons per cell. Number 2: calculated total energy -0.1357 Ry per atom, calculated volume 468.9 Å³ per cell, total magnetic moment 0.00 Bohr magnetons per cell. Number 3: calculated total energy -0.4232 Ry per atom, calculated volume 152.5 Å³ per cell, total magnetic moment 0.00 Bohr magnetons per cell. Number 4: calculated total energy -0.6291 Ry per atom, calculated volume 97.6 Å³ per cell, total magnetic moment 12.04 Bohr magnetons per cell. Number 5: calculated total energy -0.2875 Ry per atom, calculated volume 134.6 Å³ per cell, total magnetic moment 4.45 Bohr magnetons per cell. Number 6: calculated total energy -0.2211 Ry per atom, calculated volume 271.6 Å³ per cell, total magnetic moment 0.00 Bohr magnetons per cell. Number 7: calculated total energy -0.1951 Ry per atom, calculated volume 97.3 Å³ per cell, total magnetic moment 0.00 Bohr magnetons per cell. Number 8: calculated total energy -0.7980 Ry per atom, calculated volume 59.2 Å³ per cell, total magnetic moment 0.00 Bohr magnetons per cell.